Record 1
BaNa2Li | PBE | relaxed

Its crystal system is tetragonal.

The space group is P4/mmm (No. 123) and the conventional cell measures 5.328, 5.328 and 6.016 Å, with angles of 90.00, 90.00 and 90.00 degrees. The asymmetric unit holds Ba at (0.000, 0.000, 0.000), Na at (0.000, 0.500, 0.500) and Li at (0.500, 0.500, 0.000).

Record 2
Li15Zn4Hg | PBE | relaxed

Its crystal system is tetragonal.

The space group is P4/mmm (No. 123) and the conventional cell measures 4.247, 4.247 and 18.654 Å, with angles of 90.00, 90.00 and 90.00 degrees. The asymmetric unit holds Li at (0.000, 0.000, 0.000), Li at (0.000, 0.000, 0.203), Li at (0.000, 0.000, 0.401), Li at (0.000, 0.500, 0.103), Li at (0.000, 0.500, 0.302), Li at (0.000, 0.500, 0.500), Zn at (0.500, 0.500, 0.204), Zn at (0.500, 0.500, 0.401) and Hg at (0.500, 0.500, 0.000).

Record 3
Be2CdAg | PBE | relaxed

Its crystal system is orthorhombic.

The space group is Pmmm (No. 47) and the conventional cell measures 2.952, 3.104 and 6.025 Å, with angles of 90.00, 90.00 and 90.00 degrees. The asymmetric unit holds Be at (0.000, 0.000, 0.216), Cd at (0.500, 0.500, 0.500) and Ag at (0.500, 0.500, 0.000).

no.,calculated total energy (eV/atom),ΔE_f (eV/atom)
1,-1.5107,0.108
2,-1.8328,-0.128
3,-2.5269,0.278